[1]
{
  "formula": "Ba2NaCl",
  "functional": "meta-GGA SCAN",
  "state": "single point on PBEsol structure",
  "spacegroup": "No. 225",
  "dos_ef_per_ev_cell": 2.6,
  "mass_density_g_cm3": 3.5,
  "magmom_total_mub_per_fu": 1.86,
  "raw_formation_energy_mev_per_atom": -636,
  "lattice": [[6.0680, 0.0000, 0.0000], [3.0340, 5.2550, 0.0000], [3.0340, 1.7517, 4.9545]],
  "species": ["Na", "Ba", "Ba", "Cl"],
  "frac_coords": [[0.0000, 0.0000, 0.0000], [0.2500, 0.2500, 0.2500], [0.7500, 0.7500, 0.7500], [0.5000, 0.5000, 0.5000]]
}

***

[2]
{
  "formula": "BaNaPCl2",
  "functional": "meta-GGA SCAN",
  "state": "single point on PBEsol structure",
  "spacegroup": "No. 123",
  "dos_ef_per_ev_cell": 2.6,
  "mass_density_g_cm3": 2.0,
  "magmom_total_mub_per_fu": 2.00,
  "raw_formation_energy_mev_per_atom": -1041,
  "lattice": [[5.8899, 0.0000, 0.0000], [0.0000, 5.8899, 0.0000], [0.0000, 0.0000, 6.2605]],
  "species": ["P", "Na", "Ba", "Cl", "Cl"],
  "frac_coords": [[0.0000, 0.0000, 0.5000], [0.5000, 0.5000, 0.5000], [0.0000, 0.0000, 0.0000], [0.0000, 0.5000, 0.0000], [0.5000, 0.0000, 0.0000]]
}

***

[3]
{
  "formula": "BaNaRe2Cl",
  "functional": "meta-GGA SCAN",
  "state": "single point on PBEsol structure",
  "spacegroup": "No. 123",
  "dos_ef_per_ev_cell": 2.6,
  "mass_density_g_cm3": 8.5,
  "magmom_total_mub_per_fu": 0.00,
  "raw_formation_energy_mev_per_atom": 1323,
  "lattice": [[4.4314, 0.0000, 0.0000], [0.0000, 4.4314, 0.0000], [0.0000, 0.0000, 5.6358]],
  "species": ["Re", "Re", "Na", "Ba", "Cl"],
  "frac_coords": [[0.0000, 0.5000, 0.0000], [0.5000, 0.0000, 0.0000], [0.5000, 0.5000, 0.5000], [0.0000, 0.0000, 0.5000], [0.0000, 0.0000, 0.0000]]
}

***

[4]
{
  "formula": "BaNbPCl2",
  "functional": "meta-GGA SCAN",
  "state": "single point on PBEsol structure",
  "spacegroup": "No. 123",
  "dos_ef_per_ev_cell": 1.7,
  "mass_density_g_cm3": 4.6,
  "magmom_total_mub_per_fu": 1.30,
  "raw_formation_energy_mev_per_atom": -1267,
  "lattice": [[4.9244, 0.0000, 0.0000], [0.0000, 4.9107, 0.0000], [0.0000, 0.0000, 4.9107]],
  "species": ["P", "Nb", "Ba", "Cl", "Cl"],
  "frac_coords": [[0.5000, 0.0000, 0.0000], [0.0000, 0.0000, 0.0000], [0.5000, 0.5000, 0.5000], [0.0000, 0.0000, 0.5000], [0.0000, 0.5000, 0.0000]]
}

***

[5]
{
  "formula": "Ba2NiSCl",
  "functional": "meta-GGA SCAN",
  "state": "single point on PBEsol structure",
  "spacegroup": "No. 123",
  "dos_ef_per_ev_cell": 2.4,
  "mass_density_g_cm3": 4.9,
  "magmom_total_mub_per_fu": 0.00,
  "raw_formation_energy_mev_per_atom": -1302,
  "lattice": [[4.1507, 0.0000, 0.0000], [0.0000, 5.7447, 0.0000], [0.0000, 0.0000, 5.7447]],
  "species": ["Ni", "S", "Ba", "Ba", "Cl"],
  "frac_coords": [[0.0000, 0.0000, 0.0000], [0.5000, 0.0000, 0.0000], [0.0000, 0.0000, 0.5000], [0.0000, 0.5000, 0.0000], [0.5000, 0.5000, 0.5000]]
}

***

[6]
{
  "formula": "Ba3Cl2O2",
  "functional": "meta-GGA SCAN",
  "state": "single point on PBEsol structure",
  "spacegroup": "No. 62",
  "dos_ef_per_ev_cell": 0.0,
  "mass_density_g_cm3": 3.9,
  "magmom_total_mub_per_fu": 0.00,
  "raw_formation_energy_mev_per_atom": -2714,
  "lattice": [[6.2952, 0.0000, 0.0000], [0.0000, 10.4565, 0.0000], [0.0000, 0.0000, 13.2356]],
  "species": ["Ba", "Ba", "Ba", "Ba", "Ba", "Ba", "Ba", "Ba", "Ba", "Ba", "Ba", "Ba", "Cl", "Cl", "Cl", "Cl", "Cl", "Cl", "Cl", "Cl", "O", "O", "O", "O", "O", "O", "O", "O"],
  "frac_coords": [[0.7500, 0.0729, 0.0713], [0.7500, 0.1322, 0.7906], [0.2500, 0.2050, 0.4648], [0.2500, 0.2950, 0.9648], [0.7500, 0.3678, 0.2906], [0.7500, 0.4271, 0.5713], [0.2500, 0.5729, 0.4287], [0.2500, 0.6322, 0.7094], [0.7500, 0.7050, 0.0352], [0.7500, 0.7950, 0.5352], [0.2500, 0.8678, 0.2094], [0.2500, 0.9271, 0.9287], [0.7500, 0.1063, 0.5512], [0.2500, 0.1721, 0.2117], [0.2500, 0.3279, 0.7117], [0.7500, 0.3937, 0.0512], [0.2500, 0.6063, 0.9488], [0.7500, 0.6721, 0.2883], [0.7500, 0.8279, 0.7883], [0.2500, 0.8937, 0.4488], [0.0023, 0.1219, 0.9253], [0.4977, 0.1219, 0.9253], [0.0023, 0.3781, 0.4253], [0.4977, 0.3781, 0.4253], [0.9977, 0.6219, 0.5747], [0.5023, 0.6219, 0.5747], [0.9977, 0.8781, 0.0747], [0.5023, 0.8781, 0.0747]]
}